Record 1
VASP calculation (PBE) on a geometry-optimized Cs2CuSnCl6 structure. Values from VASP.

```
&SYSTEM
  ibrav = 0, nat = 10, ntyp = 4
/
ATOMIC_SPECIES
Cs 132.91 Cs.upf
Cu 63.55 Cu.upf
Sn 118.71 Sn.upf
Cl 35.45 Cl.upf
CELL_PARAMETERS angstrom
0.0000 5.1744 5.1744
5.1744 0.0000 5.1744
5.1744 5.1744 0.0000
ATOMIC_POSITIONS crystal
Cs 0.2500 0.2500 0.2500
Cs 0.7500 0.7500 0.7500
Cu 0.0000 0.0000 0.0000
Sn 0.5000 0.5000 0.5000
Cl 0.2402 0.2402 0.7598
Cl 0.2402 0.7598 0.2402
Cl 0.2402 0.7598 0.7598
Cl 0.7598 0.2402 0.2402
Cl 0.7598 0.2402 0.7598
Cl 0.7598 0.7598 0.2402
```

Computed properties:
Energy ... -3.357 eV per atom


Record 2
VASP calculation (PBE) on a geometry-optimized Tl2AgPd structure. Values from VASP.

```
&SYSTEM
  ibrav = 0, nat = 4, ntyp = 3
/
ATOMIC_SPECIES
Tl 204.38 Tl.upf
Ag 107.87 Ag.upf
Pd 106.42 Pd.upf
CELL_PARAMETERS angstrom
0.0000 3.4920 3.4920
3.4920 0.0000 3.4920
3.4920 3.4920 0.0000
ATOMIC_POSITIONS crystal
Tl 0.0000 0.0000 0.0000
Tl 0.2500 0.2500 0.2500
Ag 0.7500 0.7500 0.7500
Pd 0.5000 0.5000 0.5000
```

Computed properties:
Energy ... -3.099 eV per atom


Record 3
VASP calculation (PBE) on a geometry-optimized CdCoGeAu structure. Values from VASP.

```
&SYSTEM
  ibrav = 0, nat = 4, ntyp = 4
/
ATOMIC_SPECIES
Cd 112.41 Cd.upf
Co 58.93 Co.upf
Ge 72.64 Ge.upf
Au 196.97 Au.upf
CELL_PARAMETERS angstrom
0.0000 3.2239 3.2239
3.2239 0.0000 3.2239
3.2239 3.2239 0.0000
ATOMIC_POSITIONS crystal
Cd 0.0000 0.0000 0.0000
Co 0.7500 0.7500 0.7500
Ge 0.5000 0.5000 0.5000
Au 0.2500 0.2500 0.2500
```

Computed properties:
Energy above the most stable polymorph in this dataset ... 0.0000 eV per atom


Record 4
VASP calculation (PBE) on a geometry-optimized RbCoCl3 structure. Values from VASP.

```
&SYSTEM
  ibrav = 0, nat = 10, ntyp = 3
/
ATOMIC_SPECIES
Rb 85.47 Rb.upf
Co 58.93 Co.upf
Cl 35.45 Cl.upf
CELL_PARAMETERS angstrom
7.0447 0.0000 0.0000
-3.5223 6.1009 0.0000
0.0000 0.0000 5.8490
ATOMIC_POSITIONS crystal
Rb 0.3333 0.6667 0.2500
Rb 0.6667 0.3333 0.7500
Co 0.0000 0.0000 0.0000
Co 0.0000 0.0000 0.5000
Cl 0.1582 0.3164 0.7500
Cl 0.1582 0.8418 0.7500
Cl 0.3164 0.1582 0.2500
Cl 0.6836 0.8418 0.7500
Cl 0.8418 0.1582 0.2500
Cl 0.8418 0.6836 0.2500
```

Computed properties:
Energy ... -3.867 eV per atom


Record 5
VASP calculation (PBE) on a geometry-optimized RbTcTe structure. Values from VASP.

```
&SYSTEM
  ibrav = 0, nat = 3, ntyp = 3
/
ATOMIC_SPECIES
Rb 85.47 Rb.upf
Tc 98.00 Tc.upf
Te 127.60 Te.upf
CELL_PARAMETERS angstrom
0.0000 3.9018 3.9018
3.9018 0.0000 3.9018
3.9018 3.9018 0.0000
ATOMIC_POSITIONS crystal
Rb 0.0000 0.0000 0.0000
Tc 0.7500 0.7500 0.7500
Te 0.2500 0.2500 0.2500
```

Computed properties:
Energy above the most stable polymorph in this dataset ... 0.6360 eV per atom


Record 6
VASP calculation (PBE) on a geometry-optimized Sm2NbAs3 structure. Values from VASP.

```
&SYSTEM
  ibrav = 0, nat = 6, ntyp = 3
/
ATOMIC_SPECIES
Sm 150.36 Sm.upf
Nb 92.91 Nb.upf
As 74.92 As.upf
CELL_PARAMETERS angstrom
4.0329 0.0000 0.0000
-2.0164 3.4926 0.0000
0.0000 0.0000 9.8620
ATOMIC_POSITIONS crystal
Sm 0.3333 0.6667 0.3191
Sm 0.6667 0.3333 0.6809
Nb 0.0000 0.0000 0.0000
As 0.0000 0.0000 0.5000
As 0.3333 0.6667 0.8594
As 0.6667 0.3333 0.1406
```

Computed properties:
Energy ... -6.680 eV per atom


Record 7
VASP calculation (PBE) on a geometry-optimized CsGd2CSe4 structure. Values from VASP.

```
&SYSTEM
  ibrav = 0, nat = 8, ntyp = 4
/
ATOMIC_SPECIES
Cs 132.91 Cs.upf
Gd 157.25 Gd.upf
C 12.01 C.upf
Se 78.96 Se.upf
CELL_PARAMETERS angstrom
4.1725 0.0000 0.0000
-2.0862 3.6135 0.0000
0.0000 0.0000 14.9368
ATOMIC_POSITIONS crystal
Cs 0.0000 0.0000 0.0000
Gd 0.6667 0.3333 0.2855
Gd 0.6667 0.3333 0.7145
C 0.3333 0.6667 0.5000
Se 0.0000 0.0000 0.3933
Se 0.0000 0.0000 0.6067
Se 0.3333 0.6667 0.1768
Se 0.3333 0.6667 0.8232
```

Computed properties:
Energy ... -4.724 eV per atom


Record 8
VASP calculation (PBE) on a geometry-optimized CsDySO structure. Values from VASP.

```
&SYSTEM
  ibrav = 0, nat = 8, ntyp = 4
/
ATOMIC_SPECIES
Cs 132.91 Cs.upf
Dy 162.50 Dy.upf
S 32.06 S.upf
O 16.00 O.upf
CELL_PARAMETERS angstrom
4.6704 0.0000 0.0000
0.0000 4.6704 0.0000
0.0000 0.0000 10.6184
ATOMIC_POSITIONS crystal
Cs 0.2500 0.7500 0.0000
Cs 0.7500 0.2500 0.0000
Dy 0.2500 0.2500 0.4445
Dy 0.7500 0.7500 0.5555
S 0.2500 0.2500 0.2104
S 0.7500 0.7500 0.7896
O 0.2500 0.7500 0.5000
O 0.7500 0.2500 0.5000
```

Computed properties:
Energy above the most stable polymorph in this dataset ... 0.3156 eV per atom


Record 9
VASP calculation (PBE) on a geometry-optimized Er2TmFe2B2N3 structure. Values from VASP.

```
&SYSTEM
  ibrav = 0, nat = 10, ntyp = 5
/
ATOMIC_SPECIES
Er 167.26 Er.upf
Tm 168.93 Tm.upf
Fe 55.84 Fe.upf
B 10.81 B.upf
N 14.01 N.upf
CELL_PARAMETERS angstrom
-1.7030 1.7030 10.1059
1.7030 -1.7030 10.1059
1.7030 1.7030 -10.1059
ATOMIC_POSITIONS crystal
Er 0.1210 0.1210 0.0000
Er 0.8790 0.8790 0.0000
Tm 0.5000 0.5000 0.0000
Fe 0.2500 0.7500 0.5000
Fe 0.7500 0.2500 0.5000
B 0.3131 0.3131 0.0000
B 0.6869 0.6869 0.0000
N 0.0000 0.0000 0.0000
N 0.3867 0.3867 0.0000
N 0.6133 0.6133 0.0000
```

Computed properties:
Energy ... -8.073 eV per atom


Record 10
VASP calculation (PBE) on a geometry-optimized NdHoNO structure. Values from VASP.

```
&SYSTEM
  ibrav = 0, nat = 8, ntyp = 4
/
ATOMIC_SPECIES
Nd 144.24 Nd.upf
Ho 164.93 Ho.upf
N 14.01 N.upf
O 16.00 O.upf
CELL_PARAMETERS angstrom
4.4410 0.0000 0.0000
0.0000 4.4410 0.0000
0.0000 0.0000 8.3264
ATOMIC_POSITIONS crystal
Nd 0.2500 0.2500 0.1064
Nd 0.7500 0.7500 0.8936
Ho 0.2500 0.7500 0.5000
Ho 0.7500 0.2500 0.5000
N 0.2500 0.2500 0.5664
N 0.7500 0.7500 0.4336
O 0.2500 0.7500 0.0000
O 0.7500 0.2500 0.0000
```

Computed properties:
Energy above the most stable polymorph in this dataset ... 0.3785 eV per atom


Record 11
VASP calculation (PBE) on a geometry-optimized TbTe2O4 structure. Values from VASP.

```
&SYSTEM
  ibrav = 0, nat = 14, ntyp = 3
/
ATOMIC_SPECIES
Tb 158.93 Tb.upf
Te 127.60 Te.upf
O 16.00 O.upf
CELL_PARAMETERS angstrom
-3.4801 3.4801 4.9382
3.4801 -3.4801 4.9382
3.4801 3.4801 -4.9382
ATOMIC_POSITIONS crystal
Tb 0.3750 0.6250 0.7500
Tb 0.6250 0.3750 0.2500
Te 0.0000 0.0000 0.0000
Te 0.0000 0.0000 0.5000
Te 0.0000 0.5000 0.0000
Te 0.5000 0.0000 0.5000
O 0.2387 0.2465 0.9923
O 0.2465 0.2387 0.4923
O 0.2465 0.7542 0.0077
O 0.2458 0.7535 0.4923
O 0.7542 0.2465 0.5077
O 0.7535 0.2458 0.9923
O 0.7535 0.7613 0.5077
O 0.7613 0.7535 0.0077
```

Computed properties:
Energy ... -5.443 eV per atom


Record 12
VASP calculation (PBE) on a geometry-optimized Hf31TaO64 structure. Values from VASP.

```
&SYSTEM
  ibrav = 0, nat = 96, ntyp = 3
/
ATOMIC_SPECIES
Hf 178.49 Hf.upf
Ta 180.95 Ta.upf
O 16.00 O.upf
CELL_PARAMETERS angstrom
9.9670 0.0000 0.0000
-0.0004 10.0841 0.0000
-0.0023 -0.0022 10.4201
ATOMIC_POSITIONS crystal
Hf 0.0000 0.0000 0.0000
Hf 0.0002 0.0002 0.5004
Hf 0.9998 0.2498 0.2146
Hf 0.0001 0.5000 0.0000
Hf 0.0001 0.7500 0.2149
Hf 0.0000 0.7504 0.7145
Hf 0.0014 0.2498 0.7140
Hf 0.0011 0.4999 0.5000
Hf 0.2690 0.9997 0.7501
Hf 0.2692 0.4999 0.2506
Hf 0.2691 0.5002 0.7499
Hf 0.2693 0.7499 0.9648
Hf 0.2696 0.0003 0.2495
Hf 0.2696 0.2503 0.9644
Hf 0.2696 0.7504 0.4645
Hf 0.4991 0.2539 0.7133
Hf 0.5002 0.0040 0.9997
Hf 0.5000 0.0048 0.5003
Hf 0.5001 0.5043 0.9997
Hf 0.4999 0.5037 0.5002
Hf 0.5001 0.7541 0.2146
Hf 0.5002 0.7541 0.7145
Hf 0.5008 0.2542 0.2136
Hf 0.7693 0.0039 0.2502
Hf 0.7693 0.0045 0.7499
Hf 0.7694 0.2540 0.4644
Hf 0.7695 0.2543 0.9640
Hf 0.7692 0.7541 0.4646
Hf 0.7694 0.7540 0.9644
Hf 0.7697 0.5041 0.2501
Hf 0.7697 0.5039 0.7497
Ta 0.2706 0.2488 0.4620
O 0.0938 0.0631 0.6701
O 0.0945 0.0638 0.1699
O 0.0951 0.3140 0.0461
O 0.0945 0.5637 0.1698
O 0.0950 0.5650 0.6695
O 0.0946 0.8138 0.0454
O 0.0952 0.8151 0.5453
O 0.0992 0.3140 0.5453
O 0.1739 0.5665 0.4187
O 0.1743 0.8160 0.2958
O 0.1748 0.0640 0.9199
O 0.1747 0.3143 0.7959
O 0.1748 0.5638 0.9198
O 0.1747 0.8139 0.7954
O 0.1759 0.0688 0.4201
O 0.1764 0.3132 0.2961
O 0.3579 0.1297 0.6120
O 0.3586 0.3785 0.6001
O 0.3614 0.1286 0.1130
O 0.3615 0.3786 0.1011
O 0.3614 0.6284 0.6130
O 0.3610 0.6286 0.1134
O 0.3611 0.8787 0.1016
O 0.3614 0.8788 0.6018
O 0.4081 0.1254 0.8509
O 0.4079 0.3738 0.3630
O 0.4082 0.6257 0.8516
O 0.4084 0.8758 0.3628
O 0.4084 0.8755 0.8631
O 0.4087 0.1259 0.3520
O 0.4086 0.3757 0.8623
O 0.4086 0.6249 0.3517
O 0.5944 0.4404 0.1697
O 0.5945 0.4396 0.6690
O 0.5944 0.6906 0.0449
O 0.5949 0.1895 0.5451
O 0.5946 0.1904 0.0445
O 0.5946 0.6897 0.5451
O 0.5946 0.9405 0.1693
O 0.5948 0.9400 0.6695
O 0.6743 0.1905 0.7947
O 0.6745 0.9400 0.4194
O 0.6752 0.1902 0.2948
O 0.6747 0.4400 0.4193
O 0.6751 0.4406 0.9194
O 0.6749 0.6902 0.2949
O 0.6749 0.6899 0.7950
O 0.6750 0.9403 0.9194
O 0.8613 0.1258 0.1016
O 0.8614 0.1256 0.6013
O 0.8611 0.3755 0.1130
O 0.8612 0.6257 0.1015
O 0.8613 0.6255 0.6016
O 0.8612 0.8756 0.1132
O 0.8611 0.8759 0.6128
O 0.8629 0.3753 0.6123
O 0.9084 0.1288 0.8630
O 0.9084 0.3785 0.8513
O 0.9081 0.6284 0.3632
O 0.9084 0.6285 0.8629
O 0.9082 0.8785 0.3519
O 0.9082 0.8786 0.8516
O 0.9086 0.1284 0.3630
O 0.9089 0.3784 0.3516
```

Computed properties:
Energy above the most stable polymorph in this dataset ... 0.0000 eV per atom


Record 13
VASP calculation (PBE) on a geometry-optimized GeMo3N2 structure. Values from VASP.

```
&SYSTEM
  ibrav = 0, nat = 12, ntyp = 3
/
ATOMIC_SPECIES
Ge 72.64 Ge.upf
Mo 95.94 Mo.upf
N 14.01 N.upf
CELL_PARAMETERS angstrom
3.1650 0.0000 0.0000
-1.5825 2.7410 0.0000
0.0000 0.0000 17.0895
ATOMIC_POSITIONS crystal
Ge 0.0000 0.0000 0.2500
Ge 0.0000 0.0000 0.7500
Mo 0.0000 0.0000 0.0000
Mo 0.0000 0.0000 0.5000
Mo 0.3333 0.6667 0.1327
Mo 0.3333 0.6667 0.3673
Mo 0.6667 0.3333 0.6327
Mo 0.6667 0.3333 0.8673
N 0.3333 0.6667 0.5706
N 0.3333 0.6667 0.9294
N 0.6667 0.3333 0.0706
N 0.6667 0.3333 0.4294
```

Computed properties:
Energy ... -8.972 eV per atom


Record 14
VASP calculation (PBE) on a geometry-optimized Sr2Ge2Pt structure. Values from VASP.

```
&SYSTEM
  ibrav = 0, nat = 10, ntyp = 3
/
ATOMIC_SPECIES
Sr 87.62 Sr.upf
Ge 72.64 Ge.upf
Pt 195.08 Pt.upf
CELL_PARAMETERS angstrom
5.6754 -2.2689 0.0000
5.6754 2.2689 0.0000
-5.2746 0.0000 9.7041
ATOMIC_POSITIONS crystal
Sr 0.0055 0.0055 0.3287
Sr 0.1915 0.1915 0.1117
Sr 0.8085 0.8085 0.8883
Sr 0.9945 0.9945 0.6713
Ge 0.3396 0.3396 0.4446
Ge 0.4914 0.4914 0.1150
Ge 0.5086 0.5086 0.8850
Ge 0.6604 0.6604 0.5554
Pt 0.2736 0.2736 0.6532
Pt 0.7264 0.7264 0.3468
```

Computed properties:
Energy ... -4.463 eV per atom


Record 15
VASP calculation (PBE) on a geometry-optimized Ho2Ga4PdAu structure. Values from VASP.

```
&SYSTEM
  ibrav = 0, nat = 8, ntyp = 4
/
ATOMIC_SPECIES
Ho 164.93 Ho.upf
Ga 69.72 Ga.upf
Pd 106.42 Pd.upf
Au 196.97 Au.upf
CELL_PARAMETERS angstrom
6.6399 0.0000 0.0000
0.0000 2.2299 5.1044
0.0000 -2.2299 5.1044
ATOMIC_POSITIONS crystal
Ho 0.0000 0.0000 0.0000
Ho 0.5000 0.1763 0.1763
Ga 0.2040 0.7142 0.7142
Ga 0.3053 0.4658 0.4658
Ga 0.6947 0.4658 0.4658
Ga 0.7960 0.7142 0.7142
Pd 0.5000 0.8882 0.8882
Au 0.0000 0.2912 0.2912
```

Computed properties:
Energy ... -4.452 eV per atom


Record 16
VASP calculation (PBE) on a geometry-optimized GdMgZn structure. Values from VASP.

```
&SYSTEM
  ibrav = 0, nat = 12, ntyp = 3
/
ATOMIC_SPECIES
Gd 157.25 Gd.upf
Mg 24.30 Mg.upf
Zn 65.41 Zn.upf
CELL_PARAMETERS angstrom
6.3796 0.0000 0.0000
3.1643 5.6566 0.0000
0.2889 0.2481 7.8209
ATOMIC_POSITIONS crystal
Gd 0.0000 0.0000 0.0000
Gd 0.0596 0.7077 0.6078
Gd 0.4129 0.1599 0.2699
Gd 0.8447 0.5709 0.2199
Mg 0.0847 0.2080 0.6256
Mg 0.5539 0.8944 0.9037
Mg 0.5600 0.7020 0.5788
Mg 0.5858 0.2258 0.6554
Zn 0.1647 0.3820 0.9194
Zn 0.3274 0.6712 0.2787
Zn 0.4934 0.4947 0.9639
Zn 0.8950 0.1057 0.3557
```

Computed properties:
Energy ... -2.605 eV per atom


Record 17
VASP calculation (PBE) on a geometry-optimized Nd3Fe29 structure. Values from VASP.

```
&SYSTEM
  ibrav = 0, nat = 32, ntyp = 2
/
ATOMIC_SPECIES
Nd 144.24 Nd.upf
Fe 55.84 Fe.upf
CELL_PARAMETERS angstrom
4.8205 -4.2575 0.0000
4.8205 4.2575 0.0000
-1.1194 0.0000 10.3703
ATOMIC_POSITIONS crystal
Nd 0.0000 0.0000 0.0000
Nd 0.1861 0.1861 0.5989
Nd 0.8139 0.8139 0.4011
Fe 0.0000 0.5000 0.0000
Fe 0.0963 0.0963 0.2909
Fe 0.0964 0.5906 0.8025
Fe 0.1343 0.6851 0.1957
Fe 0.1706 0.4614 0.3746
Fe 0.1878 0.6838 0.5963
Fe 0.2806 0.2806 0.8941
Fe 0.2929 0.2929 0.1401
Fe 0.3149 0.8657 0.8043
Fe 0.3162 0.8122 0.4037
Fe 0.3603 0.6397 0.0000
Fe 0.4094 0.9036 0.1975
Fe 0.4614 0.1706 0.3746
Fe 0.4786 0.4786 0.7472
Fe 0.5000 0.0000 0.0000
Fe 0.5000 0.5000 0.5000
Fe 0.5214 0.5214 0.2528
Fe 0.5386 0.8294 0.6254
Fe 0.5906 0.0964 0.8025
Fe 0.6397 0.3603 0.0000
Fe 0.6838 0.1878 0.5963
Fe 0.6851 0.1343 0.1957
Fe 0.7071 0.7071 0.8599
Fe 0.7194 0.7194 0.1059
Fe 0.8122 0.3162 0.4037
Fe 0.8294 0.5386 0.6254
Fe 0.8657 0.3149 0.8043
Fe 0.9036 0.4094 0.1975
Fe 0.9037 0.9037 0.7091
```

Computed properties:
Energy relative to the elements ... 0.042 eV per atom


Record 18
VASP calculation (PBE) on a geometry-optimized Cu2SnSe3 structure. Values from VASP.

```
&SYSTEM
  ibrav = 0, nat = 6, ntyp = 3
/
ATOMIC_SPECIES
Cu 63.55 Cu.upf
Sn 118.71 Sn.upf
Se 78.96 Se.upf
CELL_PARAMETERS angstrom
-2.0590 6.1150 2.8487
2.0590 -6.1150 2.8487
2.0590 6.1150 -2.8487
ATOMIC_POSITIONS crystal
Cu 0.1715 0.0000 0.1715
Cu 0.8285 0.0000 0.8285
Sn 0.4741 0.9741 0.5000
Se 0.0471 0.7245 0.3226
Se 0.4019 0.7245 0.6774
Se 0.7758 0.7758 0.0000
```

Computed properties:
Energy ... -3.938 eV per atom